Record 1
This record from Alexandria via LeMat-Bulk describes a relaxed structure of Ho6Se5S. The functional is GGA-PBE.

## Properties
The value obtained for the energy is -5.8573 eV per atom.

Cell: 6.9907 6.9907 6.9846 Å, 99.52 99.52 120.09°
Closest atoms and distances in Å follow each position.
Fractional positions:
S  0.0000  0.0000  0.0000  6 Ho 2.66-2.67
Ho  0.3875  0.0768  0.2323  1 S 2.66, 4 Se 2.86-2.87
Ho  0.9232  0.6125  0.7677  1 S 2.66, 4 Se 2.86-2.87
Ho  0.2314  0.2314  0.7631  1 S 2.67, 4 Se 2.87-2.90
Ho  0.7686  0.7686  0.2369  1 S 2.67, 4 Se 2.87-2.90
Ho  0.0768  0.3875  0.2323  1 S 2.66, 4 Se 2.86-2.87
Ho  0.6125  0.9232  0.7677  1 S 2.66, 4 Se 2.86-2.87
Se  0.8268  0.1732  0.5000  6 Ho 2.86-3.00
Se  0.6656  0.3344  0.0000  6 Ho 2.86-2.87
Se  0.5000  0.5000  0.5000  6 Ho 2.87-3.03
Se  0.3344  0.6656  0.0000  6 Ho 2.86-2.87
Se  0.1732  0.8268  0.5000  6 Ho 2.86-3.00

=====

Record 2
This record from Alexandria via LeMat-Bulk describes a relaxed structure of Ho4Se4S. The functional is GGA-PBE.

## Properties
The value obtained for the energy is -5.9252 eV per atom.

Cell: 5.7172 6.9105 6.9105 Å, 80.15 65.56 65.56°
Closest atoms and distances in Å follow each position.
Fractional positions:
Ho  0.7099  0.3873  0.1928  1 S 2.72, 5 Se 2.85-2.88
Ho  0.2901  0.6127  0.8072  1 S 2.72, 5 Se 2.85-2.88
Ho  0.9028  0.8072  0.3873  1 S 2.72, 5 Se 2.85-2.88
Ho  0.0972  0.1928  0.6127  1 S 2.72, 5 Se 2.85-2.88
Se  0.7945  0.6112  0.7998  5 Ho 2.85-2.88
Se  0.2055  0.3888  0.2002  5 Ho 2.85-2.88
Se  0.5943  0.2002  0.6112  5 Ho 2.85-2.88
Se  0.4057  0.7998  0.3888  5 Ho 2.85-2.88
S  0.0000  0.0000  0.0000  4 Ho 2.72

=====

Record 3
This record from Alexandria via LeMat-Bulk describes a relaxed structure of Ho3Se2S. The functional is GGA-PBE.

## Properties
The value obtained for the energy is -5.8979 eV per atom. The energy above the most stable polymorph in this dataset comes out at 0.043 eV per atom.

Cell: 3.9505 3.9505 20.2922 Å, 90.00 90.00 120.00°
Closest atoms and distances in Å follow each position.
Fractional positions:
Ho  0.0000  0.0000  0.0000  6 Se 2.85
Ho  0.3333  0.6667  0.1665  3 Se 2.83, 3 S 2.84
Ho  0.3333  0.6667  0.3335  3 Se 2.83, 3 S 2.84
Ho  0.0000  0.0000  0.5000  6 Se 2.85
Ho  0.6667  0.3333  0.6665  3 Se 2.83, 3 S 2.84
Ho  0.6667  0.3333  0.8335  3 Se 2.83, 3 S 2.84
Se  0.3333  0.6667  0.9159  6 Ho 2.83-2.85
Se  0.6667  0.3333  0.0841  6 Ho 2.83-2.85
Se  0.6667  0.3333  0.4159  6 Ho 2.83-2.85
Se  0.3333  0.6667  0.5841  6 Ho 2.83-2.85
S  0.0000  0.0000  0.2500  6 Ho 2.84
S  0.0000  0.0000  0.7500  6 Ho 2.84

=====

Record 4
This record from Alexandria via LeMat-Bulk describes a relaxed structure of Ho6Se2S3. The functional is GGA-PBE.

## Properties
The value obtained for the energy is -5.9557 eV per atom.

Cell: 3.8863 3.8863 19.6129 Å, 84.31 84.31 60.00°
Closest atoms and distances in Å follow each position.
Fractional positions:
Ho  0.0809  0.0809  0.7573  3 S 2.73, 3 Se 2.86
Ho  0.9191  0.9191  0.2427  3 S 2.73, 3 Se 2.86
Ho  0.1901  0.1901  0.4298  3 Se 2.92
Ho  0.8099  0.8099  0.5702  3 Se 2.92
Ho  0.3607  0.3607  0.9180  6 S 2.74-2.75
Ho  0.6393  0.6393  0.0820  6 S 2.74-2.75
Se  0.4446  0.4446  0.6663  6 Ho 2.86-2.92
Se  0.5554  0.5554  0.3337  6 Ho 2.86-2.92
S  0.0000  0.0000  0.0000  6 Ho 2.75
S  0.2791  0.2791  0.1628  6 Ho 2.73-2.74
S  0.7209  0.7209  0.8372  6 Ho 2.73-2.74

=====

Record 5
This record from Alexandria via LeMat-Bulk describes a relaxed structure of Ho4Se3S2. The functional is GGA-PBE.

## Properties
The value obtained for the energy is -5.9723 eV per atom. The energy above the most stable polymorph in this dataset comes out at 0.000 eV per atom.

Cell: 3.7937 7.0488 8.5712 Å, 98.36 90.00 105.61°
Closest atoms and distances in Å follow each position.
Fractional positions:
Ho  0.6560  0.3119  0.1103  3 S 2.69-2.76, 3 Se 2.80-2.89
Ho  0.0721  0.1443  0.6786  2 S 2.74, 5 Se 2.96-3.06
Ho  0.9279  0.8557  0.3214  2 S 2.74, 5 Se 2.96-3.06
Ho  0.3440  0.6881  0.8897  3 S 2.69-2.76, 3 Se 2.80-2.89
Se  0.4050  0.8100  0.5924  5 Ho 2.80-3.05
Se  0.0000  0.0000  0.0000  6 Ho 2.89-3.06
Se  0.5950  0.1900  0.4076  5 Ho 2.80-3.05
S  0.2951  0.5902  0.1912  5 Ho 2.69-2.76
S  0.7049  0.4098  0.8088  5 Ho 2.69-2.76

=====

Record 6
This record from Alexandria via LeMat-Bulk describes a relaxed structure of Ho2Se2S. The functional is GGA-PBE.

## Properties
The value obtained for the energy is -5.9492 eV per atom. The energy above the most stable polymorph in this dataset comes out at 0.000 eV per atom.

Cell: 5.7099 7.0618 8.3550 Å, 110.64 90.00 113.85°
Closest atoms and distances in Å follow each position.
Fractional positions:
Ho  0.8259  0.6518  0.4021  1 S 2.63, 4 Se 2.79-2.91
Ho  0.1732  0.3463  0.5943  1 S 2.63, 4 Se 2.79-2.91
Ho  0.5139  0.0277  0.7808  2 S 2.62, 2 Se 2.88
Ho  0.4853  0.9704  0.2156  2 S 2.62, 2 Se 2.88
Se  0.3351  0.6700  0.4244  5 Ho 2.86-3.07
Se  0.6641  0.3281  0.5720  5 Ho 2.86-3.07
Se  0.9878  0.9755  0.2577  4 Ho 2.79-2.91
Se  0.0113  0.0226  0.7387  4 Ho 2.79-2.91
S  0.6503  0.3003  0.1074  3 Ho 2.62-2.63
S  0.3489  0.6978  0.8890  3 Ho 2.62-2.63

=====

Record 7
This record from Alexandria via LeMat-Bulk describes a relaxed structure of HoSeS. The functional is GGA-PBE.

## Properties
The value obtained for the energy is -5.3706 eV per atom. The energy above the most stable polymorph in this dataset comes out at 0.357 eV per atom.

Cell: 3.6642 3.6642 5.4364 Å, 109.69 109.69 90.00°
Closest atoms and distances in Å follow each position.
Fractional positions:
S  0.0311  0.0311  0.0621  1 Se 2.72, 4 Ho 2.84
Ho  0.6538  0.6538  0.3077  4 S 2.84, 4 Se 3.01
Se  0.3151  0.3151  0.6302  1 S 2.72, 4 Ho 3.01

=====

Record 8
This record from Alexandria via LeMat-Bulk describes a relaxed structure of HoSeS. The functional is GGA-PBE.

## Properties
The value obtained for the energy is -5.6645 eV per atom. The energy above the most stable polymorph in this dataset comes out at 0.063 eV per atom.

Cell: 3.9503 3.9503 8.6351 Å, 103.22 103.22 90.00°
Closest atoms and distances in Å follow each position.
Fractional positions:
Ho  0.3539  0.3539  0.7078  5 S 2.76-2.86
Ho  0.6461  0.6461  0.2922  5 S 2.76-2.86
Se  0.0000  0.5000  0.0000  4 Se 2.79, 4 Ho 3.10
Se  0.5000  0.0000  0.0000  4 Se 2.79, 4 Ho 3.10
S  0.1851  0.1851  0.3701  5 Ho 2.76-2.86
S  0.8149  0.8149  0.6299  5 Ho 2.76-2.86

=====

Record 9
This record from Alexandria via LeMat-Bulk describes a relaxed structure of Ho2Se2S. The functional is GGA-PBE.

## Properties
The value obtained for the energy is -5.9130 eV per atom. The energy above the most stable polymorph in this dataset comes out at 0.036 eV per atom.

Cell: 4.0636 7.0386 11.9325 Å, 115.37 99.80 90.00°
Closest atoms and distances in Å follow each position.
Fractional positions:
Ho  0.1670  0.9626  0.3340  3 Se 2.74, 3 S 2.93
Ho  0.8330  0.0374  0.6660  3 Se 2.74, 3 S 2.93
Ho  0.3331  0.5375  0.6662  3 Se 2.74, 3 S 2.93
Ho  0.6669  0.4625  0.3338  3 Se 2.74, 3 S 2.93
Se  0.1003  0.1990  0.2006  3 Ho 2.74
Se  0.8997  0.8010  0.7994  3 Ho 2.74
Se  0.3997  0.3008  0.7994  3 Ho 2.74
Se  0.6003  0.6992  0.2006  3 Ho 2.74
S  0.2500  0.7500  0.5000  6 Ho 2.93
S  0.7500  0.2500  0.5000  6 Ho 2.93

=====

Record 10
This record from Alexandria via LeMat-Bulk describes a relaxed structure of Ho3SeS2. The functional is GGA-PBE.

## Properties
The value obtained for the energy is -6.1247 eV per atom. The energy above the most stable polymorph in this dataset comes out at 0.000 eV per atom.

Cell: 3.9475 5.5679 6.8277 Å, 114.06 106.80 90.00°
Closest atoms and distances in Å follow each position.
Fractional positions:
Ho  0.8217  0.3217  0.1434  4 S 2.72-2.79, 2 Se 2.89
Ho  0.1783  0.6783  0.8566  4 S 2.72-2.79, 2 Se 2.89
Ho  0.5000  0.0000  0.5000  4 S 2.76, 2 Se 2.78
Se  0.5000  0.5000  0.5000  6 Ho 2.78-2.89
S  0.8368  0.8368  0.1737  6 Ho 2.72-2.79
S  0.1632  0.1632  0.8263  6 Ho 2.72-2.79

=====

Record 11
This record from Alexandria via LeMat-Bulk describes a relaxed structure of Ho2SeS. The functional is GGA-PBE.

## Properties
The value obtained for the energy is -5.6340 eV per atom. The energy above the most stable polymorph in this dataset comes out at 0.430 eV per atom.

Cell: 4.3689 4.3688 7.7259 Å, 73.64 73.64 59.85°
Closest atoms and distances in Å follow each position.
Fractional positions:
Ho  0.1060  0.5510  0.5781  3 S 2.61, 1 Se 2.78
Ho  0.6219  0.0670  0.0314  1 S 2.63, 3 Se 2.80
Se  0.2341  0.6792  0.1979  4 Ho 2.78-2.80
S  0.7425  0.1874  0.6710  4 Ho 2.61-2.63

=====

Record 12
This record from Alexandria via LeMat-Bulk describes a relaxed structure of Ho2SeS2. The functional is GGA-PBE.

## Properties
The value obtained for the energy is -6.2030 eV per atom. The energy above the most stable polymorph in this dataset comes out at 0.000 eV per atom.

Cell: 4.0200 5.3661 7.1909 Å, 111.91 106.23 90.00°
Closest atoms and distances in Å follow each position.
Fractional positions:
Ho  0.6606  0.1606  0.3213  4 S 2.71-2.72, 2 Se 2.87
Ho  0.3394  0.8394  0.6787  4 S 2.71-2.72, 2 Se 2.87
Se  0.0000  0.0000  0.0000  4 Ho 2.87
S  0.3038  0.3038  0.6076  4 Ho 2.71-2.72
S  0.6962  0.6962  0.3924  4 Ho 2.71-2.72

=====

Looking at energy relative to the elements, uncorrected for the records above, in order, we have -1.77; -1.88; -1.76; -1.70; -1.86; -1.90; -1.31; -1.60; -1.86; -1.88; -1.44; -2.02 eV/atom.